Arrangement one

# Pr5Y2Ho4

Crystalline Pr5Y2Ho4 at its relaxed geometry (PBE, Alexandria).

CIF file:
```
data_Pr5Y2Ho4
_chemical_formula_sum 'Pr10 Y4 Ho8'
_space_group_name_H-M_alt 'I m m m'
_space_group_IT_number 71
_space_group_name_Hall '-I 2 2'
_cell_length_a 3.546
_cell_length_b 9.160
_cell_length_c 23.832
_cell_angle_alpha 90.00
_cell_angle_beta 90.00
_cell_angle_gamma 90.00
loop_
_atom_site_label
_atom_site_type_symbol
_atom_site_fract_x
_atom_site_fract_y
_atom_site_fract_z
Pr1 Pr 0.000 0.000 0.000
Pr2 Pr 0.000 0.301 0.355
Y1 Y 0.000 0.500 0.231
Ho1 Ho 0.000 0.185 0.500
Ho2 Ho 0.000 0.500 0.096
```

---

Arrangement two

# Pr5Y2Ho4

Crystalline Pr5Y2Ho4 at its relaxed geometry (PBE, Alexandria).

CIF file:
```
data_Pr5Y2Ho4
_chemical_formula_sum 'Pr10 Y4 Ho8'
_space_group_name_H-M_alt 'C 1 2/m 1'
_space_group_IT_number 12
_space_group_name_Hall '-C 2y'
_cell_length_a 18.180
_cell_length_b 3.606
_cell_length_c 11.903
_cell_angle_alpha 90.00
_cell_angle_beta 101.94
_cell_angle_gamma 90.00
loop_
_atom_site_label
_atom_site_type_symbol
_atom_site_fract_x
_atom_site_fract_y
_atom_site_fract_z
Pr1 Pr 0.000 0.000 0.000
Pr2 Pr 0.149 0.500 0.511
Pr3 Pr 0.166 0.500 0.002
Y1 Y 0.149 0.000 0.256
Ho1 Ho 0.018 0.500 0.727
Ho2 Ho 0.188 0.000 0.763
```

---

Q: Which of them is the most stable? A: arrangement two.

---

Arrangement one

# Pr3Y6Ho

Crystalline Pr3Y6Ho at its relaxed geometry (PBE, Alexandria).

CIF file:
```
data_Pr3Y6Ho
_chemical_formula_sum 'Pr9 Y18 Ho3'
_space_group_name_H-M_alt 'R 3'
_space_group_IT_number 146
_space_group_name_Hall 'R 3'
_cell_length_a 9.9790
_cell_length_b 9.9790
_cell_length_c 11.7604
_cell_angle_alpha 90.00
_cell_angle_beta 90.00
_cell_angle_gamma 120.00
loop_
_atom_site_label
_atom_site_type_symbol
_atom_site_fract_x
_atom_site_fract_y
_atom_site_fract_z
Pr1 Pr 0.0000 0.0000 0.0000
Pr2 Pr 0.0000 0.0000 0.2507
Pr3 Pr 0.0000 0.0000 0.5013
Y1 Y 0.0038 0.3287 0.5000
Y2 Y 0.0082 0.6701 0.6669
Ho1 Ho 0.0000 0.0000 0.7506
```

---

Arrangement two

# Pr3Y6Ho

Crystalline Pr3Y6Ho at its relaxed geometry (PBE, Alexandria).

CIF file:
```
data_Pr3Y6Ho
_chemical_formula_sum 'Pr12 Y24 Ho4'
_space_group_name_H-M_alt 'C m c 21'
_space_group_IT_number 36
_space_group_name_Hall 'C 2c -2'
_cell_length_a 10.998
_cell_length_b 18.961
_cell_length_c 6.465
_cell_angle_alpha 90.00
_cell_angle_beta 90.00
_cell_angle_gamma 90.00
loop_
_atom_site_label
_atom_site_type_symbol
_atom_site_fract_x
_atom_site_fract_y
_atom_site_fract_z
Pr1 Pr 0.000 0.114 0.000
Pr2 Pr 0.179 0.386 0.607
Y1 Y 0.000 0.233 0.413
Y2 Y 0.000 0.461 0.210
Y3 Y 0.168 0.044 0.516
Y4 Y 0.237 0.209 0.697
Ho1 Ho 0.000 0.308 0.935
```

---

Q: Which of them is the most stable? A: arrangement two.

---

Arrangement one

# PrY2Ho5

Crystalline PrY2Ho5 at its relaxed geometry (PBE, Alexandria).

CIF file:
```
data_PrY2Ho5
_chemical_formula_sum 'Pr2 Y4 Ho10'
_space_group_name_H-M_alt 'P b a m'
_space_group_IT_number 55
_space_group_name_Hall '-P 2 2ab'
_cell_length_a 7.127
_cell_length_b 14.262
_cell_length_c 5.024
_cell_angle_alpha 90.00
_cell_angle_beta 90.00
_cell_angle_gamma 90.00
loop_
_atom_site_label
_atom_site_type_symbol
_atom_site_fract_x
_atom_site_fract_y
_atom_site_fract_z
Pr1 Pr 0.000 0.000 0.000
Y1 Y 0.249 0.374 0.500
Ho1 Ho 0.000 0.251 0.000
Ho2 Ho 0.000 0.500 0.000
Ho3 Ho 0.249 0.626 0.500
```

---

Arrangement two

# PrY2Ho5

Crystalline PrY2Ho5 at its relaxed geometry (PBE, Alexandria).

CIF file:
```
data_PrY2Ho5
_chemical_formula_sum 'Pr2 Y4 Ho10'
_space_group_name_H-M_alt 'P -1'
_space_group_IT_number 2
_space_group_name_Hall '-P 1'
_cell_length_a 6.729
_cell_length_b 8.474
_cell_length_c 9.608
_cell_angle_alpha 75.89
_cell_angle_beta 84.10
_cell_angle_gamma 77.46
loop_
_atom_site_label
_atom_site_type_symbol
_atom_site_fract_x
_atom_site_fract_y
_atom_site_fract_z
Pr1 Pr 0.115 0.137 0.178
Y1 Y 0.241 0.013 0.552
Y2 Y 0.365 0.884 0.927
Ho1 Ho 0.007 0.737 0.200
Ho2 Ho 0.137 0.611 0.572
Ho3 Ho 0.262 0.490 0.947
Ho4 Ho 0.386 0.369 0.323
Ho5 Ho 0.487 0.759 0.304
```

---

Q: Which of them is the most stable? A: arrangement two.

---

Arrangement one

# Pr6Y12Ho

Crystalline Pr6Y12Ho at its relaxed geometry (PBE, Alexandria).

CIF file:
```
data_Pr6Y12Ho
_chemical_formula_sum 'Pr18 Y36 Ho3'
_space_group_name_H-M_alt 'R -3 m'
_space_group_IT_number 166
_space_group_name_Hall '-R 3 2"'
_cell_length_a 13.4481
_cell_length_b 13.4481
_cell_length_c 12.6536
_cell_angle_alpha 90.00
_cell_angle_beta 90.00
_cell_angle_gamma 120.00
loop_
_atom_site_label
_atom_site_type_symbol
_atom_site_fract_x
_atom_site_fract_y
_atom_site_fract_z
Pr1 Pr 0.0411 0.5205 0.1174
Y1 Y 0.0000 0.2572 0.0000
Y2 Y 0.0907 0.1815 0.7622
Ho1 Ho 0.0000 0.0000 0.5000
```

---

Arrangement two

# Pr6Y12Ho

Crystalline Pr6Y12Ho at its relaxed geometry (PBE, Alexandria).

CIF file:
```
data_Pr6Y12Ho
_chemical_formula_sum 'Pr18 Y36 Ho3'
_space_group_name_H-M_alt 'R -3 m'
_space_group_IT_number 166
_space_group_name_Hall '-R 3 2"'
_cell_length_a 11.2303
_cell_length_b 11.2303
_cell_length_c 17.7187
_cell_angle_alpha 90.00
_cell_angle_beta 90.00
_cell_angle_gamma 120.00
loop_
_atom_site_label
_atom_site_type_symbol
_atom_site_fract_x
_atom_site_fract_y
_atom_site_fract_z
Pr1 Pr 0.0700 0.5350 0.2663
Y1 Y 0.1016 0.5508 0.9136
Y2 Y 0.1062 0.2125 0.9082
Ho1 Ho 0.0000 0.0000 0.5000
```

---

Q: Which of them is the most stable? A: arrangement two.